# 1
Entry from OQMD via LeMat-Bulk: a relaxed structure of SmNbN2O (PBE).

Its spin magnetization is 0.00 μB per formula unit. The value obtained for the total energy is -8.967 eV per atom. The symmetry is No. 12.

```
SmNbN2O
1.0
-5.1113 -1.8409 -1.1995
1.1812 -4.8274 2.5007
0.5705 4.8161 2.9170
N O Sm Nb
4 2 2 2
Direct
0.7819 0.2181 0.5000
0.3477 0.3477 0.0483
0.6523 0.6523 0.9517
0.2181 0.7819 0.5000
0.1721 0.8279 0.0000
0.8279 0.1721 0.0000
0.2386 0.2386 0.5004
0.7614 0.7614 0.4996
0.5000 0.0000 0.0000
0.0000 0.5000 0.0000
```

=====

# 2
Entry from OQMD via LeMat-Bulk: a relaxed structure of SmNbN2O (PBE).

Its spin magnetization is 0.00 μB per formula unit. The value obtained for the total energy is -9.066 eV per atom. The symmetry is No. 1.

```
SmNbN2O
1.0
-4.4843 2.8151 -1.8807
-0.5766 -6.0875 -7.7390
-5.8106 -7.5797 2.4700
N Nb Sm O
16 8 8 8
Direct
0.2135 0.9207 0.6324
0.8004 0.5750 0.8724
0.7119 0.8274 0.6239
0.3037 0.3708 0.5748
0.9051 0.3606 0.3881
0.8047 0.3738 0.6781
0.2973 0.8732 0.0763
0.2086 0.6246 0.3272
0.7096 0.6290 0.4224
0.7092 0.3291 0.1218
0.3021 0.1767 0.3780
0.8016 0.0756 0.3720
0.2111 0.1207 0.8299
0.4064 0.3901 0.8603
0.9048 0.8614 0.8905
0.4042 0.8885 0.3620
0.4675 0.0015 0.4922
0.4833 0.2630 0.7350
0.0142 0.9933 0.9905
0.9805 0.2364 0.2628
0.5152 0.4900 0.9914
0.9733 0.7543 0.7483
0.9675 0.4904 0.4996
0.4715 0.7494 0.2552
0.5134 0.0989 0.1465
0.5026 0.6050 0.6453
0.0126 0.6456 0.0993
0.9748 0.8417 0.4030
0.9852 0.3417 0.9048
0.0038 0.1462 0.6039
0.4781 0.4070 0.3393
0.4810 0.9012 0.8440
0.1064 0.6435 0.6087
0.7175 0.1296 0.9336
0.6094 0.1041 0.6498
0.1141 0.1484 0.1078
0.2148 0.4343 0.1276
0.8033 0.8883 0.1756
0.3051 0.6757 0.8844
0.6108 0.6130 0.1415
```

=====

# 3
Entry from OQMD via LeMat-Bulk: a relaxed structure of SmNbN2O (PBE).

Its spin magnetization is 0.00 μB per formula unit. The value obtained for the total energy is -8.947 eV per atom. The symmetry is No. 6.

```
SmNbN2O
1.0
-0.3252 -0.8944 -3.8003
-2.3992 -2.8102 0.8667
-3.5819 2.9428 -0.3738
N O Sm Nb
2 1 1 1
Direct
0.0001 0.0000 0.4366
0.5028 0.0000 0.9553
0.4989 0.5000 0.4034
0.9983 0.5000 0.1107
0.5009 0.0000 0.5545
```